Model i:
# SrZn4Ni

A geometry-optimized SrZn4Ni structure (PBE-GGA, Alexandria).

Lattice parameters (Å, degrees): 4.5884 4.5884 6.9178 90.00 90.00 90.00
Last column: nearest neighbours and their distance in Å.
Fractional positions:
Sr 0.0000 0.0000 0.0000  8 Zn 3.46
Zn 0.0000 0.5000 0.5000  2 Ni 2.29
Zn 0.5000 0.0000 0.5000  2 Ni 2.29
Zn 0.5000 0.5000 0.1747  1 Ni 2.25, 1 Zn 2.42
Zn 0.5000 0.5000 0.8253  1 Ni 2.25, 1 Zn 2.42
Ni 0.5000 0.5000 0.5000  6 Zn 2.25-2.29

Properties
**Crystal system**: tetragonal
**SG**: P4/mmm (123)

---

Model ii:
# SrZn4Ni

A geometry-optimized SrZn4Ni structure (PBE-GGA, Alexandria).

Lattice parameters (Å, degrees): 5.2866 5.2866 5.2866 60.00 60.00 60.00
Last column: nearest neighbours and their distance in Å.
Fractional positions:
Sr 0.0000 0.0000 0.0000  12 Zn 3.10, 4 Ni 3.24
Zn 0.1316 0.6228 0.6228  6 Zn 2.60-2.69
Zn 0.6228 0.1316 0.6228  6 Zn 2.60-2.69
Zn 0.6228 0.6228 0.1316  6 Zn 2.60-2.69
Zn 0.6228 0.6228 0.6228  6 Zn 2.60-2.69
Ni 0.2500 0.2500 0.2500  12 Zn 3.09, 4 Sr 3.24

Properties
**Crystal system**: cubic
**SG**: F-43m (216)

---

Stability check: which of them is least stable? model i.

---

Model i:
# SrZrNi2

A geometry-optimized SrZrNi2 structure (PBE-GGA, Alexandria).

Lattice parameters (Å, degrees): 3.3505 3.3505 7.1853 90.00 90.00 90.00
Last column: nearest neighbours and their distance in Å.
Fractional positions:
Sr 0.0000 0.0000 0.0000  8 Ni 3.29, 4 Sr 3.35, 2 Zr 3.59
Zr 0.0000 0.0000 0.5000  8 Ni 2.71
Ni 0.5000 0.5000 0.3183  1 Ni 2.61, 4 Zr 2.71
Ni 0.5000 0.5000 0.6817  1 Ni 2.61, 4 Zr 2.71

Properties
**Crystal system**: tetragonal
**SG**: P4/mmm (123)

---

Model ii:
# SrZrNi2

A geometry-optimized SrZrNi2 structure (PBE-GGA, Alexandria).

Lattice parameters (Å, degrees): 3.3687 3.3687 7.4796 90.00 90.00 90.00
Last column: nearest neighbours and their distance in Å.
Fractional positions:
Sr 0.0000 0.0000 0.0000  5 Ni 3.11-3.21, 4 Sr 3.37
Zr 0.5000 0.5000 0.4118  5 Ni 2.40-2.66
Ni 0.0000 0.0000 0.5709  4 Zr 2.66, 4 Ni 2.67
Ni 0.5000 0.5000 0.7323  1 Zr 2.40, 4 Ni 2.67

Properties
**Crystal system**: tetragonal
**SG**: P4mm (99)

---

Stability check: which of them is least stable? model ii.

---

Model i:
# SrZrNi2

A geometry-optimized SrZrNi2 structure (PBE-GGA, Alexandria).

Lattice parameters (Å, degrees): 3.9816 6.2725 6.2725 33.87 90.00 90.00
Last column: nearest neighbours and their distance in Å.
Fractional positions:
Sr 0.0000 0.0000 0.0000  7 Ni 3.07-3.38
Zr 0.5000 0.7300 0.7300  6 Ni 2.56-2.73
Ni 0.0000 0.2635 0.2635  2 Ni 2.43
Ni 0.5000 0.3790 0.3790  2 Ni 2.43, 2 Zr 2.56

Properties
**Crystal system**: orthorhombic
**SG**: Amm2 (38)

---

Model ii:
# SrZrNi2

A geometry-optimized SrZrNi2 structure (PBE-GGA, Alexandria).

Lattice parameters (Å, degrees): 4.0703 4.0703 7.1378 106.55 106.55 60.10
Last column: nearest neighbours and their distance in Å.
Fractional positions:
Sr 0.0000 0.0000 0.0000  6 Ni 3.26-3.28, 1 Zr 3.51
Zr 0.8267 0.8267 0.4795  6 Ni 2.65-2.66
Ni 0.2202 0.2202 0.6600  3 Ni 2.35
Ni 0.5552 0.5552 0.6642  3 Ni 2.35

Properties
**Crystal system**: monoclinic
**SG**: Cm (8)

---

Model iii:
# SrZrNi2

A geometry-optimized SrZrNi2 structure (PBE-GGA, Alexandria).

Lattice parameters (Å, degrees): 4.8849 4.8849 3.2084 90.00 90.00 90.00
Last column: nearest neighbours and their distance in Å.
Fractional positions:
Sr 0.0000 0.0000 0.0000  8 Ni 2.92, 2 Sr 3.21
Zr 0.5000 0.5000 0.0000  8 Ni 2.92, 2 Zr 3.21
Ni 0.0000 0.5000 0.5000  4 Zr 2.92, 4 Sr 2.92, 2 Ni 3.21
Ni 0.5000 0.0000 0.5000  4 Zr 2.92, 4 Sr 2.92, 2 Ni 3.21

Properties
**Crystal system**: tetragonal
**SG**: P4/mmm (123)

---

Model iv:
# SrZrNi2

A geometry-optimized SrZrNi2 structure (PBE-GGA, Alexandria).

Lattice parameters (Å, degrees): 6.1695 6.1695 6.1695 107.08 107.08 114.36
Last column: nearest neighbours and their distance in Å.
Fractional positions:
Sr 0.0000 0.0000 0.0000  4 Ni 2.99, 2 Zr 3.34
Sr 0.7500 0.2500 0.5000  4 Ni 2.99, 2 Zr 3.34
Zr 0.2500 0.7500 0.5000  4 Ni 2.49
Zr 0.5000 0.5000 0.0000  4 Ni 2.49
Ni 0.1756 0.6250 0.0506  2 Zr 2.49
Ni 0.3750 0.4256 0.5506  2 Zr 2.49
Ni 0.5744 0.1250 0.9494  2 Zr 2.49
Ni 0.8750 0.8244 0.4494  2 Zr 2.49

Properties
**Crystal system**: tetragonal
**SG**: I-42d (122)

---

Stability check: which of them is least stable? model iv.

---

Model i:
# Ta5Ni

A geometry-optimized Ta5Ni structure (PBE-GGA, Alexandria).

Lattice parameters (Å, degrees): 8.4150 8.4150 8.4150 60.00 60.00 60.00
Last column: nearest neighbours and their distance in Å.
Fractional positions:
Ta 0.1341 0.7886 0.7886  3 Ni 2.60, 6 Ta 2.77-2.91
Ta 0.1876 0.1876 0.5624  4 Ta 2.77-3.06, 2 Ni 3.07
Ta 0.1876 0.5624 0.1876  4 Ta 2.77-3.06, 2 Ni 3.07
Ta 0.1876 0.5624 0.5624  4 Ta 2.77-3.06, 2 Ni 3.07
Ta 0.2114 0.2114 0.2114  3 Ni 2.60, 6 Ta 2.77-2.91
Ta 0.2114 0.2114 0.8659  3 Ni 2.60, 6 Ta 2.77-2.91
Ta 0.2114 0.8659 0.2114  3 Ni 2.60, 6 Ta 2.77-2.91
Ta 0.4376 0.4376 0.8124  4 Ta 2.77-3.06, 2 Ni 3.07
Ta 0.4376 0.8124 0.4376  4 Ta 2.77-3.06, 2 Ni 3.07
Ta 0.4376 0.8124 0.8124  4 Ta 2.77-3.06, 2 Ni 3.07
Ta 0.5624 0.1876 0.1876  4 Ta 2.77-3.06, 2 Ni 3.07
Ta 0.5624 0.1876 0.5624  4 Ta 2.77-3.06, 2 Ni 3.07
Ta 0.5624 0.5624 0.1876  4 Ta 2.77-3.06, 2 Ni 3.07
Ta 0.7886 0.1341 0.7886  3 Ni 2.60, 6 Ta 2.77-2.91
Ta 0.7886 0.7886 0.1341  3 Ni 2.60, 6 Ta 2.77-2.91
Ta 0.7886 0.7886 0.7886  3 Ni 2.60, 6 Ta 2.77-2.91
Ta 0.8124 0.4376 0.4376  4 Ta 2.77-3.06, 2 Ni 3.07
Ta 0.8124 0.4376 0.8124  4 Ta 2.77-3.06, 2 Ni 3.07
Ta 0.8124 0.8124 0.4376  4 Ta 2.77-3.06, 2 Ni 3.07
Ta 0.8659 0.2114 0.2114  3 Ni 2.60, 6 Ta 2.77-2.91
Ni 0.0000 0.0000 0.0000  6 Ta 2.60
Ni 0.0000 0.0000 0.5000  6 Ta 2.60
Ni 0.0000 0.5000 0.0000  6 Ta 2.60
Ni 0.5000 0.0000 0.0000  6 Ta 2.60

Properties
**Crystal system**: cubic
**SG**: Fd-3m (227)

---

Model ii:
# Ta5Ni

A geometry-optimized Ta5Ni structure (PBE-GGA, Alexandria).

Lattice parameters (Å, degrees): 6.9207 6.9207 4.5958 90.00 90.00 152.22
Last column: nearest neighbours and their distance in Å.
Fractional positions:
Ta 0.0000 0.0000 0.0000  4 Ta 2.78, 4 Ni 2.84
Ta 0.1603 0.8397 0.5000  2 Ni 2.72, 6 Ta 2.84-2.93
Ta 0.3340 0.6660 0.0000  8 Ta 2.78-2.84
Ta 0.6660 0.3340 0.0000  8 Ta 2.78-2.84
Ta 0.8397 0.1603 0.5000  2 Ni 2.72, 6 Ta 2.84-2.93
Ni 0.5000 0.5000 0.5000  8 Ta 2.72-2.84

Properties
**Crystal system**: orthorhombic
**SG**: Cmmm (65)

---

Model iii:
# Ta5Ni

A geometry-optimized Ta5Ni structure (PBE-GGA, Alexandria).

Lattice parameters (Å, degrees): 5.5039 5.5039 4.5576 90.00 90.00 120.00
Last column: nearest neighbours and their distance in Å.
Fractional positions:
Ta 0.0000 0.5000 0.0000  8 Ta 2.75-2.78
Ta 0.3333 0.6667 0.5000  6 Ta 2.78
Ta 0.5000 0.0000 0.0000  8 Ta 2.75-2.78
Ta 0.5000 0.5000 0.0000  8 Ta 2.75-2.78
Ta 0.6667 0.3333 0.5000  6 Ta 2.78
Ni 0.0000 0.0000 0.5000  6 Ta 3.18

Properties
**Crystal system**: hexagonal
**SG**: P6/mmm (191)

---

Model iv:
# Ta5Ni

A geometry-optimized Ta5Ni structure (PBE-GGA, Alexandria).

Lattice parameters (Å, degrees): 7.0708 7.0708 3.3308 90.00 90.00 141.99
Last column: nearest neighbours and their distance in Å.
Fractional positions:
Ta 0.0000 0.0000 0.0000  4 Ta 2.76, 4 Ni 2.84
Ta 0.1650 0.8350 0.5000  8 Ta 2.76-2.85
Ta 0.3382 0.6618 0.0000  2 Ni 2.73, 6 Ta 2.84-2.85
Ta 0.6618 0.3382 0.0000  2 Ni 2.73, 6 Ta 2.84-2.85
Ta 0.8350 0.1650 0.5000  8 Ta 2.76-2.85
Ni 0.5000 0.5000 0.5000  8 Ta 2.73-2.84

Properties
**Crystal system**: orthorhombic
**SG**: Cmmm (65)

---

Stability check: which of them is least stable? model iii.

---

Model i:
# Ta3Ni4

A geometry-optimized Ta3Ni4 structure (PBE-GGA, Alexandria).

Lattice parameters (Å, degrees): 10.0372 10.0372 10.0372 161.83 161.83 25.80
Last column: nearest neighbours and their distance in Å.
Fractional positions:
Ta 0.0000 0.0000 0.0000  10 Ni 2.60-2.66
Ta 0.2972 0.2972 0.0000  5 Ni 2.60-2.65, 4 Ta 2.91
Ta 0.7028 0.7028 0.0000  5 Ni 2.60-2.65, 4 Ta 2.91
Ni 0.1357 0.1357 0.0000  5 Ta 2.60-2.66, 4 Ni 2.61
Ni 0.4327 0.4327 0.0000  5 Ta 2.60-2.65, 5 Ni 2.61-2.64
Ni 0.5673 0.5673 0.0000  5 Ta 2.60-2.65, 5 Ni 2.61-2.64
Ni 0.8643 0.8643 0.0000  5 Ta 2.60-2.66, 4 Ni 2.61

Properties
**Crystal system**: tetragonal
**SG**: I4/mmm (139)

---

Model ii:
# Ta3Ni4

A geometry-optimized Ta3Ni4 structure (PBE-GGA, Alexandria).

Lattice parameters (Å, degrees): 5.2174 5.2174 4.5272 90.00 90.00 120.00
Last column: nearest neighbours and their distance in Å.
Fractional positions:
Ta 0.0000 0.5000 0.0000  4 Ta 2.61, 8 Ni 2.72-2.86
Ta 0.5000 0.0000 0.0000  4 Ta 2.61, 8 Ni 2.72-2.86
Ta 0.5000 0.5000 0.0000  4 Ta 2.61, 8 Ni 2.72-2.86
Ni 0.0000 0.0000 0.2593  2 Ni 2.18-2.35
Ni 0.0000 0.0000 0.7407  2 Ni 2.18-2.35
Ni 0.3333 0.6667 0.5000  6 Ta 2.72, 3 Ni 3.01
Ni 0.6667 0.3333 0.5000  6 Ta 2.72, 3 Ni 3.01

Properties
**Crystal system**: hexagonal
**SG**: P6/mmm (191)

---

Stability check: which of them is least stable? model ii.

---

Model i:
# TaNi4

A geometry-optimized TaNi4 structure (PBE-GGA, Alexandria).

Lattice parameters (Å, degrees): 4.4846 4.4846 4.4846 99.21 99.21 132.84
Last column: nearest neighbours and their distance in Å.
Fractional positions:
Ta 0.0000 0.0000 0.0000  12 Ni 2.59-2.60
Ni 0.1938 0.5965 0.7903  9 Ni 2.52-2.64, 3 Ta 2.59-2.60
Ni 0.4035 0.1938 0.5973  9 Ni 2.52-2.64, 3 Ta 2.59-2.60
Ni 0.5965 0.8062 0.4027  9 Ni 2.52-2.64, 3 Ta 2.59-2.60
Ni 0.8062 0.4035 0.2097  9 Ni 2.52-2.64, 3 Ta 2.59-2.60

Properties
**Crystal system**: tetragonal
**SG**: I4/m (87)

---

Model ii:
# TaNi4

A geometry-optimized TaNi4 structure (PBE-GGA, Alexandria).

Lattice parameters (Å, degrees): 4.7206 4.7206 4.7206 109.47 109.47 109.47
Last column: nearest neighbours and their distance in Å.
Fractional positions:
Ta 0.0000 0.0000 0.0000  8 Ni 2.36
Ni 0.0000 0.0000 0.5000  2 Ta 2.36
Ni 0.0000 0.5000 0.0000  2 Ta 2.36
Ni 0.5000 0.0000 0.0000  2 Ta 2.36
Ni 0.5000 0.5000 0.5000  2 Ta 2.36

Properties
**Crystal system**: cubic
**SG**: Im-3m (229)

---

Model iii:
# TaNi4

A geometry-optimized TaNi4 structure (PBE-GGA, Alexandria).

Lattice parameters (Å, degrees): 8.3777 8.3777 4.2565 90.00 90.00 90.00
Last column: nearest neighbours and their distance in Å.
Fractional positions:
Ta 0.1181 0.3819 0.0000  8 Ni 2.59-2.84, 1 Ta 2.80
Ta 0.3819 0.8819 0.0000  8 Ni 2.59-2.84, 1 Ta 2.80
Ta 0.6181 0.1181 0.0000  8 Ni 2.59-2.84, 1 Ta 2.80
Ta 0.8819 0.6181 0.0000  8 Ni 2.59-2.84, 1 Ta 2.80
Ni 0.0000 0.0000 0.2353  1 Ni 2.00
Ni 0.0000 0.0000 0.7647  1 Ni 2.00
Ni 0.1054 0.6054 0.5000  5 Ni 2.39-2.54
Ni 0.1087 0.2056 0.5000  4 Ni 2.20-2.39
Ni 0.2056 0.8913 0.5000  4 Ni 2.20-2.39
Ni 0.2944 0.3913 0.5000  4 Ni 2.20-2.39
Ni 0.3913 0.7056 0.5000  4 Ni 2.20-2.39
Ni 0.3946 0.1054 0.5000  5 Ni 2.39-2.54
Ni 0.5000 0.5000 0.2353  1 Ni 2.00
Ni 0.5000 0.5000 0.7647  1 Ni 2.00
Ni 0.6054 0.8946 0.5000  5 Ni 2.39-2.54
Ni 0.6087 0.2944 0.5000  4 Ni 2.20-2.39
Ni 0.7056 0.6087 0.5000  4 Ni 2.20-2.39
Ni 0.7944 0.1087 0.5000  4 Ni 2.20-2.39
Ni 0.8913 0.7944 0.5000  4 Ni 2.20-2.39
Ni 0.8946 0.3946 0.5000  5 Ni 2.39-2.54

Properties
**Crystal system**: tetragonal
**SG**: P4/mbm (127)

---

Model iv:
# TaNi4

A geometry-optimized TaNi4 structure (PBE-GGA, Alexandria).

Lattice parameters (Å, degrees): 6.1110 6.1110 6.1110 148.05 148.05 45.82
Last column: nearest neighbours and their distance in Å.
Fractional positions:
Ta 0.0000 0.0000 0.0000  8 Ni 2.64
Ni 0.2500 0.7500 0.5000  8 Ni 2.37-2.38
Ni 0.3989 0.3989 0.0000  5 Ni 2.28-2.37
Ni 0.6011 0.6011 0.0000  5 Ni 2.28-2.37
Ni 0.7500 0.2500 0.5000  8 Ni 2.37-2.38

Properties
**Crystal system**: tetragonal
**SG**: I4/mmm (139)

---

Stability check: which of them is least stable? model ii.